Computed, not measured: UHgRh2 after structural relaxation at the PBE level of DFT.

a b c (Å): 7.4593 7.4593 7.4593
angles (deg): 28.18 28.18 28.18
Sites, in units of the cell vectors:
U 0.0000 0.0000 0.0000
Hg 0.5000 0.5000 0.5000
Rh 0.2581 0.2581 0.2581
Rh 0.7419 0.7419 0.7419

Output
Total energy, eV per atom: -6.78
Volume, Å³/cell: 81.8
Symmetry: R-3m
ρ, kg/m³: 13082

---

Computed, not measured: UHgRh after structural relaxation at the PBE level of DFT.

a b c (Å): 9.5605 9.5605 3.2667
angles (deg): 90.00 90.00 90.00
Sites, in units of the cell vectors:
U 0.0323 0.7918 0.0000
U 0.2082 0.0323 0.5000
U 0.7918 0.9677 0.5000
U 0.9677 0.2082 0.0000
Hg 0.1597 0.4852 0.5000
Hg 0.4852 0.8403 0.0000
Hg 0.5148 0.1597 0.0000
Hg 0.8403 0.5148 0.5000
Rh 0.2366 0.2503 0.0000
Rh 0.2503 0.7634 0.5000
Rh 0.7497 0.2366 0.5000
Rh 0.7634 0.7497 0.0000

Output
Total energy, eV per atom: -6.26
Volume, Å³/cell: 298.6
Symmetry: P4_2/m
ρ, kg/m³: 12046

---

Computed, not measured: UHgRh2 after structural relaxation at the PBE level of DFT.

a b c (Å): 4.4787 4.4787 3.6731
angles (deg): 90.00 90.00 90.00
Sites, in units of the cell vectors:
U 0.0000 0.0000 0.0000
Hg 0.5000 0.5000 0.0000
Rh 0.0000 0.5000 0.5000
Rh 0.5000 0.0000 0.5000

Output
Total energy, eV per atom: -6.86
Volume, Å³/cell: 73.7
Symmetry: P4/mmm
ρ, kg/m³: 14524

---

Computed, not measured: VHgRh after structural relaxation at the PBE level of DFT.

a b c (Å): 5.7520 5.7520 6.3621
angles (deg): 106.55 106.55 29.39
Sites, in units of the cell vectors:
V 0.0000 0.0000 0.0000
V 0.6681 0.6681 0.9120
Hg 0.3599 0.3599 0.2530
Hg 0.6527 0.6527 0.3845
Rh 0.0119 0.0119 0.6339
Rh 0.3157 0.3157 0.7650

Output
Volume, Å³/cell: 98.7
Distance to the lowest polymorph of the same formula, meV per atom: 46
Symmetry: Cm
ρ, kg/m³: 11923

---

Computed, not measured: V2HgRh2 after structural relaxation at the PBE level of DFT.

a b c (Å): 7.5199 7.5199 2.7721
angles (deg): 90.00 90.00 90.00
Sites, in units of the cell vectors:
V 0.1456 0.3544 0.0000
V 0.3544 0.8544 0.0000
V 0.6456 0.1456 0.0000
V 0.8544 0.6456 0.0000
Hg 0.0000 0.0000 0.0000
Hg 0.5000 0.5000 0.0000
Rh 0.1427 0.6427 0.5000
Rh 0.3573 0.1427 0.5000
Rh 0.6427 0.8573 0.5000
Rh 0.8573 0.3573 0.5000

Output
Volume, Å³/cell: 156.8
Distance to the lowest polymorph of the same formula, meV per atom: 100
Symmetry: P4/mbm
ρ, kg/m³: 10768

---

Computed, not measured: VHgRh2 after structural relaxation at the PBE level of DFT.

a b c (Å): 5.6791 5.6791 5.6791
angles (deg): 104.04 104.04 120.98
Sites, in units of the cell vectors:
V 0.0000 0.0000 0.0000
V 0.7500 0.2500 0.5000
Hg 0.2500 0.7500 0.5000
Hg 0.5000 0.5000 0.0000
Rh 0.0717 0.6250 0.9467
Rh 0.3750 0.3217 0.4467
Rh 0.6783 0.1250 0.0533
Rh 0.8750 0.9283 0.5533

Output
Total energy, eV per atom: -5.88
Volume, Å³/cell: 136.7
Symmetry: I-42d
ρ, kg/m³: 11114

---

Computed, not measured: V2HgRh2 after structural relaxation at the PBE level of DFT.

a b c (Å): 7.4373 7.4373 2.7879
angles (deg): 90.00 90.00 90.00
Sites, in units of the cell vectors:
V 0.1622 0.3378 0.0000
V 0.3378 0.8378 0.0000
V 0.6622 0.1622 0.0000
V 0.8378 0.6622 0.0000
Hg 0.0000 0.0000 0.5000
Hg 0.5000 0.5000 0.5000
Rh 0.1305 0.6305 0.5000
Rh 0.3695 0.1305 0.5000
Rh 0.6305 0.8695 0.5000
Rh 0.8695 0.3695 0.5000

Output
Volume, Å³/cell: 154.2
Distance to the lowest polymorph of the same formula, meV per atom: 0
Symmetry: P4/mbm
ρ, kg/m³: 10946

---

Computed, not measured: VHgRh after structural relaxation at the PBE level of DFT.

a b c (Å): 2.8216 4.2827 8.3023
angles (deg): 90.00 90.00 90.00
Sites, in units of the cell vectors:
V 0.2500 0.2500 0.0662
V 0.7500 0.7500 0.9338
Hg 0.2500 0.7500 0.6111
Hg 0.7500 0.2500 0.3889
Rh 0.2500 0.7500 0.2091
Rh 0.7500 0.2500 0.7909

Output
Volume, Å³/cell: 100.3
Distance to the lowest polymorph of the same formula, meV per atom: 56
Symmetry: Pmmn
ρ, kg/m³: 11733

---

Computed, not measured: VHgRh after structural relaxation at the PBE level of DFT.

a b c (Å): 6.1344 6.1344 6.1344
angles (deg): 152.41 152.41 39.42
Sites, in units of the cell vectors:
V 0.0000 0.0000 0.0000
Hg 0.6848 0.6848 0.0000
Rh 0.3718 0.3718 0.0000

Output
Volume, Å³/cell: 49.4
Distance to the lowest polymorph of the same formula, meV per atom: 0
Symmetry: I4mm
ρ, kg/m³: 11905

---

Computed, not measured: VHg2Rh after structural relaxation at the PBE level of DFT.

a b c (Å): 4.6462 4.6462 4.6462
angles (deg): 60.00 60.00 60.00
Sites, in units of the cell vectors:
V 0.0000 0.0000 0.0000
Hg 0.2500 0.2500 0.2500
Hg 0.7500 0.7500 0.7500
Rh 0.5000 0.5000 0.5000

Output
Volume, Å³/cell: 70.9
Distance to the lowest polymorph of the same formula, meV per atom: 0
Symmetry: Fm-3m
ρ, kg/m³: 12995

---

Computed, not measured: V3HgRh after structural relaxation at the PBE level of DFT.

a b c (Å): 4.8789 4.8789 4.8789
angles (deg): 90.00 90.00 90.00
Sites, in units of the cell vectors:
V 0.0000 0.0000 0.5000
V 0.0000 0.5000 0.0000
V 0.5000 0.0000 0.0000
Hg 0.0000 0.0000 0.0000
Rh 0.5000 0.5000 0.5000

Output
Volume, Å³/cell: 116.1
Distance to the lowest polymorph of the same formula, meV per atom: 978
Symmetry: Pm-3m
ρ, kg/m³: 6525

---

Computed, not measured: VHg2Rh2 after structural relaxation at the PBE level of DFT.

a b c (Å): 7.5680 7.5680 3.1762
angles (deg): 90.00 90.00 90.00
Sites, in units of the cell vectors:
V 0.0000 0.0000 0.0000
V 0.5000 0.5000 0.0000
Hg 0.1387 0.3613 0.0000
Hg 0.3613 0.8613 0.0000
Hg 0.6387 0.1387 0.0000
Hg 0.8613 0.6387 0.0000
Rh 0.1620 0.6620 0.5000
Rh 0.3380 0.1620 0.5000
Rh 0.6620 0.8380 0.5000
Rh 0.8380 0.3380 0.5000

Output
Volume, Å³/cell: 181.9
Distance to the lowest polymorph of the same formula, meV per atom: 0
Symmetry: P4/mbm
ρ, kg/m³: 12011